ScCuS2Cl | PBE | relaxed

Calculated values
- E_form (uncorrected): -41.52 kJ per mole of atoms
- Relative energy among the computed polymorphs: 0 meV/atom

```
data_ScCuS2Cl
_cell_length_a 4.932
_cell_length_b 4.932
_cell_length_c 4.915
_cell_angle_alpha 90.00
_cell_angle_beta 90.00
_cell_angle_gamma 90.00
_symmetry_space_group_name_H-M 'P 4/m m m'
_symmetry_Int_Tables_number 123
_symmetry_space_group_name_Hall '-P 4 2'
loop_
_atom_site_label
_atom_site_type_symbol
_atom_site_fract_x
_atom_site_fract_y
_atom_site_fract_z
Sc1 Sc 0.000 0.000 0.000
Cu1 Cu 0.500 0.500 0.500
S1 S 0.000 0.500 0.000
Cl1 Cl 0.000 0.000 0.500
```